Here is a relaxed LiPr2InO5 crystal from the Alexandria database. Energies are from GGA-PBE.

Its space group is Cmc2_1 (36). The total energy is -123.46 eV for the cell shown. The calculation puts the size of the total moment at 0.00 Bohr magnetons per cell.

Unit cell a=3.4178 b=7.0692 c=9.9990 alpha=90.00 beta=90.00 gamma=103.99
Fractional positions:
Li  0.5205  0.0409  0.9790
Li  0.4795  0.9591  0.4790
Pr  0.8750  0.7500  0.8011
Pr  0.1094  0.2188  0.6879
Pr  0.1250  0.2500  0.3011
Pr  0.8906  0.7812  0.1879
In  0.8022  0.6043  0.5033
In  0.1978  0.3957  0.0033
O  0.3589  0.7179  0.0012
O  0.6962  0.3924  0.8564
O  0.5001  0.0002  0.7831
O  0.2884  0.5768  0.6574
O  0.9537  0.9075  0.5546
O  0.6411  0.2821  0.5012
O  0.3038  0.6076  0.3564
O  0.4999  0.9998  0.2831
O  0.7116  0.4232  0.1574
O  0.0463  0.0925  0.0546